No. 1
{"formula": "CsK", "functional": "PBE-GGA", "state": "relaxed", "lattice": [[8.108, 0.000, 0.001], [0.000, 5.614, 0.000], [-0.118, 0.000, 8.091]], "species": ["K", "K", "Cs", "Cs"], "fractional_positions": [[0.734, 0.500, 0.238], [0.266, 0.500, 0.762], [0.239, 0.000, 0.259], [0.761, 0.000, 0.741]], "rho_g_cm3": 1.551, "relative_energy_ev_per_atom": 0.0023}

No. 2
{"formula": "Cs3K8", "functional": "PBE-GGA", "state": "relaxed", "lattice": [[-4.089, -5.475, -7.610], [9.845, -0.885, -2.627], [-0.258, -7.150, 7.308]], "species": ["Cs", "Cs", "Cs", "K", "K", "K", "K", "K", "K", "K", "K"], "fractional_positions": [[0.000, 0.500, 0.500], [0.500, 0.500, 0.000], [0.500, 0.000, 0.500], [0.644, 0.644, 0.644], [0.951, 0.035, 0.691], [0.049, 0.965, 0.309], [0.035, 0.691, 0.951], [0.691, 0.951, 0.035], [0.965, 0.309, 0.049], [0.356, 0.356, 0.356], [0.309, 0.049, 0.965]], "rho_g_cm3": 1.146, "relative_energy_ev_per_atom": 0.0874}

No. 3
{"formula": "CsK", "functional": "PBE-GGA", "state": "relaxed", "lattice": [[9.288, 0.000, 0.000], [0.000, 9.288, 0.000], [0.000, 0.000, 9.301]], "species": ["Cs", "Cs", "Cs", "Cs", "K", "K", "K", "K"], "fractional_positions": [[0.810, 0.190, 0.500], [0.310, 0.310, 0.000], [0.690, 0.690, 0.000], [0.190, 0.810, 0.500], [0.321, 0.321, 0.500], [0.679, 0.679, 0.500], [0.179, 0.821, 0.000], [0.821, 0.179, 0.000]], "rho_g_cm3": 1.424, "relative_energy_ev_per_atom": 0.0782}

No. 4
{"formula": "CsK2", "functional": "PBE-GGA", "state": "relaxed", "lattice": [[-3.500, -6.690, -4.920], [2.704, -8.488, 1.364], [-5.589, -5.952, 3.815]], "species": ["K", "K", "K", "K", "Cs", "Cs"], "fractional_positions": [[0.125, 0.625, 0.625], [0.625, 0.125, 0.625], [0.625, 0.625, 0.125], [0.625, 0.625, 0.625], [0.250, 0.250, 0.250], [0.000, 0.000, 0.000]], "rho_g_cm3": 1.355, "relative_energy_ev_per_atom": 0.0000}

No. 5
{"formula": "Cs11K", "functional": "PBE-GGA", "state": "relaxed", "lattice": [[5.182, 0.000, 0.000], [0.000, 15.036, -8.681], [0.000, 0.000, 17.363]], "species": ["Cs", "Cs", "Cs", "Cs", "Cs", "Cs", "Cs", "Cs", "Cs", "Cs", "Cs", "K"], "fractional_positions": [[0.000, 0.667, 0.333], [0.000, 0.333, 0.667], [0.500, 0.665, 0.833], [0.000, 0.000, 0.500], [0.500, 0.167, 0.335], [0.000, 0.500, 0.500], [0.500, 0.335, 0.167], [0.000, 0.500, 0.000], [0.500, 0.167, 0.833], [0.500, 0.833, 0.665], [0.500, 0.833, 0.167], [0.000, 0.000, 0.000]], "rho_g_cm3": 1.842, "energy_ev_per_atom": -0.86}

No. 6
{"formula": "CsK", "functional": "PBE-GGA", "state": "relaxed", "lattice": [[6.570, 0.000, 0.000], [0.000, 6.570, 0.000], [-3.285, -3.285, 18.012]], "species": ["Cs", "Cs", "Cs", "Cs", "K", "K", "K", "K"], "fractional_positions": [[0.300, 0.300, 0.600], [0.050, 0.550, 0.100], [0.700, 0.700, 0.400], [0.450, 0.950, 0.900], [0.164, 0.164, 0.329], [0.836, 0.836, 0.671], [0.586, 0.086, 0.171], [0.914, 0.414, 0.829]], "rho_g_cm3": 1.470, "relative_energy_ev_per_atom": 0.0314}

No. 7
{"formula": "Cs6K", "functional": "PBE-GGA", "state": "relaxed", "lattice": [[-1.257, 6.296, -5.568], [-6.766, 5.081, 0.787], [3.791, 11.310, 5.447]], "species": ["Cs", "Cs", "Cs", "Cs", "Cs", "Cs", "K"], "fractional_positions": [[0.288, 0.288, 0.135], [0.861, 0.861, 0.418], [0.139, 0.139, 0.582], [0.428, 0.428, 0.717], [0.712, 0.712, 0.865], [0.572, 0.572, 0.283], [0.000, 0.000, 0.000]], "rho_g_cm3": 1.826, "relative_energy_ev_per_atom": 0.0000}

No. 8
{"formula": "CsK2", "functional": "PBE-GGA", "state": "relaxed", "lattice": [[5.387, 0.000, 0.000], [0.000, 5.387, 0.000], [-2.694, -2.694, 8.817]], "species": ["K", "K", "Cs"], "fractional_positions": [[0.318, 0.318, 0.637], [0.682, 0.682, 0.363], [0.000, 0.000, 0.000]], "rho_g_cm3": 1.370, "relative_energy_ev_per_atom": 0.0128}